[1]
The following is a PBE calculation of an optimized crystal structure of Cr2SiTe, from the Alexandria database.

Values from the calculation:
spin magnetization: 0.165 μB/f.u.
excess energy over the best structure of this formula in the dataset: 53.0 meV per atom
ΔE_f (raw): 233 meV/atom

Cell lengths 3.226, 3.226, 5.844 Å; angles 90.00, 90.00, 90.00 degrees
Space group P4mm (No. 99)
Symmetry-distinct sites (fractional):
Cr: 0.000 0.000 0.000 (multiplicity 1)
Cr: 0.500 0.500 0.303 (multiplicity 1)
Si: 0.000 0.000 0.425 (multiplicity 1)
Te: 0.500 0.500 0.783 (multiplicity 1)

=====

[2]
The following is a PBE calculation of an optimized crystal structure of CrSi2Te, from the Alexandria database.

Values from the calculation:
spin magnetization: 3.612 μB/f.u.
ΔE_f (raw): 621 meV/atom

Cell lengths 4.370, 4.370, 7.698 Å; angles 90.00, 90.00, 90.00 degrees
Space group I-4m2 (No. 119)
Symmetry-distinct sites (fractional):
Cr: 0.000 0.000 0.000 (multiplicity 2)
Si: 0.000 0.000 0.500 (multiplicity 2)
Si: 0.000 0.500 0.750 (multiplicity 2)
Te: 0.000 0.500 0.250 (multiplicity 2)

=====

[3]
The following is a PBE calculation of an optimized crystal structure of TiCrSi2Te, from the Alexandria database.

Values from the calculation:
spin magnetization: 0.000 μB/f.u.
ΔE_f (raw): 326 meV/atom

Cell lengths 4.534, 4.534, 4.631 Å; angles 90.00, 90.00, 90.00 degrees
Space group P4/mmm (No. 123)
Symmetry-distinct sites (fractional):
Ti: 0.000 0.000 0.000 (multiplicity 1)
Cr: 0.000 0.000 0.500 (multiplicity 1)
Si: 0.000 0.500 0.500 (multiplicity 2)
Te: 0.500 0.500 0.000 (multiplicity 1)

=====

[4]
The following is a PBE calculation of an optimized crystal structure of Tl2Cr2SiTe6, from the Alexandria database.

Values from the calculation:
spin magnetization: 5.530 μB/f.u.
ΔE_f (raw): -191 meV/atom

Cell lengths 6.942, 12.079, 8.334 Å; angles 90.00, 106.15, 90.00 degrees
Space group C2/m (No. 12)
Symmetry-distinct sites (fractional):
Tl: 0.000 0.165 0.000 (multiplicity 4)
Cr: 0.000 0.331 0.500 (multiplicity 4)
Si: 0.000 0.000 0.500 (multiplicity 2)
Te: 0.226 0.500 0.681 (multiplicity 4)
Te: 0.229 0.166 0.684 (multiplicity 8)